(1)
# GGA-PBE Ta4In3Mo2C3, relaxed
# Space-group type: C2/c
# Crystal system: monoclinic
data_Ta4In3Mo2C3
_cell_length_a 5.496
_cell_length_b 5.496
_cell_length_c 14.594
_cell_angle_alpha 100.87
_cell_angle_beta 100.87
_cell_angle_gamma 59.97
_space_group_name_H-M_alt 'P 1'
_space_group_IT_number 1
loop_
_space_group_symop_operation_xyz
'x,y,z'
loop_
_atom_site_label
_atom_site_fract_x
_atom_site_fract_y
_atom_site_fract_z
Ta1 0.021 0.201 0.082
Ta2 0.146 0.305 0.418
Ta3 0.201 0.021 0.582
Ta4 0.305 0.146 0.918
Ta5 0.695 0.854 0.082
Ta6 0.799 0.979 0.418
Ta7 0.854 0.695 0.582
Ta8 0.979 0.799 0.918
In1 0.091 0.909 0.250
In2 0.261 0.415 0.749
In3 0.415 0.261 0.249
In4 0.585 0.739 0.751
In5 0.739 0.585 0.251
In6 0.909 0.091 0.750
Mo1 0.369 0.527 0.080
Mo2 0.473 0.631 0.420
Mo3 0.527 0.369 0.580
Mo4 0.631 0.473 0.920
C1 0.000 0.500 0.000
C2 0.159 0.671 0.500
C3 0.329 0.841 0.000
C4 0.500 0.000 0.500
C5 0.671 0.159 0.000
C6 0.841 0.329 0.500

(2)
# GGA-PBE TlInMo4C2, relaxed
# Space-group type: P-6m2
# Crystal system: hexagonal
data_TlInMo4C2
_cell_length_a 3.154
_cell_length_b 3.154
_cell_length_c 14.016
_cell_angle_alpha 90.00
_cell_angle_beta 90.00
_cell_angle_gamma 120.00
_space_group_name_H-M_alt 'P 1'
_space_group_IT_number 1
loop_
_space_group_symop_operation_xyz
'x,y,z'
loop_
_atom_site_label
_atom_site_fract_x
_atom_site_fract_y
_atom_site_fract_z
Tl1 0.000 0.000 0.000
In1 0.333 0.667 0.500
Mo1 0.000 0.000 0.331
Mo2 0.000 0.000 0.669
Mo3 0.333 0.667 0.172
Mo4 0.333 0.667 0.828
C1 0.667 0.333 0.251
C2 0.667 0.333 0.749

(3)
# GGA-PBE Y4In3Mo2C3, relaxed
# Space-group type: C2/c
# Crystal system: monoclinic
data_Y4In3Mo2C3
_cell_length_a 5.957
_cell_length_b 5.957
_cell_length_c 15.349
_cell_angle_alpha 101.82
_cell_angle_beta 101.82
_cell_angle_gamma 60.68
_space_group_name_H-M_alt 'P 1'
_space_group_IT_number 1
loop_
_space_group_symop_operation_xyz
'x,y,z'
loop_
_atom_site_label
_atom_site_fract_x
_atom_site_fract_y
_atom_site_fract_z
Y1 0.045 0.187 0.093
Y2 0.122 0.302 0.407
Y3 0.187 0.045 0.593
Y4 0.302 0.122 0.907
Y5 0.698 0.878 0.093
Y6 0.813 0.955 0.407
Y7 0.878 0.698 0.593
Y8 0.955 0.813 0.907
In1 0.140 0.860 0.250
In2 0.297 0.420 0.755
In3 0.420 0.297 0.255
In4 0.580 0.703 0.745
In5 0.703 0.580 0.245
In6 0.860 0.140 0.750
Mo1 0.346 0.523 0.066
Mo2 0.477 0.654 0.434
Mo3 0.523 0.346 0.566
Mo4 0.654 0.477 0.934
C1 0.000 0.500 0.000
C2 0.202 0.649 0.500
C3 0.351 0.798 0.000
C4 0.500 0.000 0.500
C5 0.649 0.202 0.000
C6 0.798 0.351 0.500

(4)
# GGA-PBE Zr2In3Mo4C3, relaxed
# Space-group type: C2/c
# Crystal system: monoclinic
data_Zr2In3Mo4C3
_cell_length_a 5.575
_cell_length_b 5.575
_cell_length_c 14.508
_cell_angle_alpha 101.27
_cell_angle_beta 101.27
_cell_angle_gamma 60.14
_space_group_name_H-M_alt 'P 1'
_space_group_IT_number 1
loop_
_space_group_symop_operation_xyz
'x,y,z'
loop_
_atom_site_label
_atom_site_fract_x
_atom_site_fract_y
_atom_site_fract_z
Zr1 0.032 0.867 0.595
Zr2 0.133 0.968 0.905
Zr3 0.867 0.032 0.095
Zr4 0.968 0.133 0.405
In1 0.085 0.296 0.750
In2 0.296 0.085 0.250
In3 0.466 0.534 0.750
In4 0.534 0.466 0.250
In5 0.704 0.915 0.750
In6 0.915 0.704 0.250
Mo1 0.192 0.356 0.075
Mo2 0.306 0.477 0.425
Mo3 0.356 0.192 0.575
Mo4 0.477 0.306 0.925
Mo5 0.523 0.694 0.075
Mo6 0.644 0.808 0.425
Mo7 0.694 0.523 0.575
Mo8 0.808 0.644 0.925
C1 0.000 0.500 0.500
C2 0.168 0.663 0.000
C3 0.337 0.832 0.500
C4 0.500 0.000 0.000
C5 0.663 0.168 0.500
C6 0.832 0.337 0.000

(5)
# GGA-PBE Zr4In3Mo2C3, relaxed
# Space-group type: C2/c
# Crystal system: monoclinic
data_Zr4In3Mo2C3
_cell_length_a 5.653
_cell_length_b 5.653
_cell_length_c 15.033
_cell_angle_alpha 100.94
_cell_angle_beta 100.94
_cell_angle_gamma 60.21
_space_group_name_H-M_alt 'P 1'
_space_group_IT_number 1
loop_
_space_group_symop_operation_xyz
'x,y,z'
loop_
_atom_site_label
_atom_site_fract_x
_atom_site_fract_y
_atom_site_fract_z
Zr1 0.034 0.191 0.088
Zr2 0.132 0.305 0.412
Zr3 0.191 0.034 0.588
Zr4 0.305 0.132 0.912
Zr5 0.695 0.868 0.088
Zr6 0.809 0.966 0.412
Zr7 0.868 0.695 0.588
Zr8 0.966 0.809 0.912
In1 0.112 0.888 0.250
In2 0.273 0.419 0.751
In3 0.419 0.273 0.251
In4 0.581 0.727 0.749
In5 0.727 0.581 0.249
In6 0.888 0.112 0.750
Mo1 0.351 0.525 0.074
Mo2 0.475 0.649 0.426
Mo3 0.525 0.351 0.574
Mo4 0.649 0.475 0.926
C1 0.000 0.500 0.000
C2 0.177 0.662 0.500
C3 0.338 0.823 0.000
C4 0.500 0.000 0.500
C5 0.662 0.177 0.000
C6 0.823 0.338 0.500

(6)
# GGA-PBE Nb4InC2N, relaxed
# Space-group type: P-6m2
# Crystal system: hexagonal
data_Nb4InC2N
_cell_length_a 3.175
_cell_length_b 3.175
_cell_length_c 12.593
_cell_angle_alpha 90.00
_cell_angle_beta 90.00
_cell_angle_gamma 120.00
_space_group_name_H-M_alt 'P 1'
_space_group_IT_number 1
loop_
_space_group_symop_operation_xyz
'x,y,z'
loop_
_atom_site_label
_atom_site_fract_x
_atom_site_fract_y
_atom_site_fract_z
Nb1 0.000 0.000 0.114
Nb2 0.000 0.000 0.886
Nb3 0.667 0.333 0.303
Nb4 0.667 0.333 0.697
In1 0.000 0.000 0.500
C1 0.333 0.667 0.213
C2 0.333 0.667 0.787
N1 0.667 0.333 0.000

(7)
# GGA-PBE Nb8In2C3N3, relaxed
# Space-group type: P-3m1
# Crystal system: trigonal
data_Nb8In2C3N3
_cell_length_a 3.155
_cell_length_b 3.155
_cell_length_c 24.991
_cell_angle_alpha 90.00
_cell_angle_beta 90.00
_cell_angle_gamma 120.00
_space_group_name_H-M_alt 'P 1'
_space_group_IT_number 1
loop_
_space_group_symop_operation_xyz
'x,y,z'
loop_
_atom_site_label
_atom_site_fract_x
_atom_site_fract_y
_atom_site_fract_z
Nb1 0.000 0.000 0.153
Nb2 0.000 0.000 0.347
Nb3 0.000 0.000 0.653
Nb4 0.000 0.000 0.847
Nb5 0.333 0.667 0.054
Nb6 0.333 0.667 0.450
Nb7 0.667 0.333 0.550
Nb8 0.667 0.333 0.946
In1 0.333 0.667 0.251
In2 0.667 0.333 0.749
C1 0.000 0.000 0.000
C2 0.333 0.667 0.894
C3 0.667 0.333 0.106
N1 0.000 0.000 0.500
N2 0.333 0.667 0.603
N3 0.667 0.333 0.397

(8)
# GGA-PBE Nb3InCN, relaxed
# Space-group type: P-3m1
# Crystal system: trigonal
data_Nb3InCN
_cell_length_a 3.161
_cell_length_b 3.161
_cell_length_c 19.766
_cell_angle_alpha 90.00
_cell_angle_beta 90.00
_cell_angle_gamma 120.00
_space_group_name_H-M_alt 'P 1'
_space_group_IT_number 1
loop_
_space_group_symop_operation_xyz
'x,y,z'
loop_
_atom_site_label
_atom_site_fract_x
_atom_site_fract_y
_atom_site_fract_z
Nb1 0.000 0.000 0.000
Nb2 0.000 0.000 0.500
Nb3 0.333 0.667 0.126
Nb4 0.333 0.667 0.372
Nb5 0.667 0.333 0.628
Nb6 0.667 0.333 0.874
In1 0.000 0.000 0.249
In2 0.000 0.000 0.751
C1 0.333 0.667 0.567
C2 0.667 0.333 0.433
N1 0.333 0.667 0.936
N2 0.667 0.333 0.064

(9)
# GGA-PBE Ta3InCN, relaxed
# Space-group type: P-3m1
# Crystal system: trigonal
data_Ta3InCN
_cell_length_a 3.131
_cell_length_b 3.131
_cell_length_c 19.779
_cell_angle_alpha 90.00
_cell_angle_beta 90.00
_cell_angle_gamma 120.00
_space_group_name_H-M_alt 'P 1'
_space_group_IT_number 1
loop_
_space_group_symop_operation_xyz
'x,y,z'
loop_
_atom_site_label
_atom_site_fract_x
_atom_site_fract_y
_atom_site_fract_z
Ta1 0.000 0.000 0.000
Ta2 0.000 0.000 0.500
Ta3 0.333 0.667 0.126
Ta4 0.333 0.667 0.371
Ta5 0.667 0.333 0.629
Ta6 0.667 0.333 0.874
In1 0.000 0.000 0.248
In2 0.000 0.000 0.752
C1 0.333 0.667 0.567
C2 0.667 0.333 0.433
N1 0.333 0.667 0.937
N2 0.667 0.333 0.063

(10)
# GGA-PBE Ta8In2C3N3, relaxed
# Space-group type: P-3m1
# Crystal system: trigonal
data_Ta8In2C3N3
_cell_length_a 3.131
_cell_length_b 3.131
_cell_length_c 24.949
_cell_angle_alpha 90.00
_cell_angle_beta 90.00
_cell_angle_gamma 120.00
_space_group_name_H-M_alt 'P 1'
_space_group_IT_number 1
loop_
_space_group_symop_operation_xyz
'x,y,z'
loop_
_atom_site_label
_atom_site_fract_x
_atom_site_fract_y
_atom_site_fract_z
Ta1 0.000 0.000 0.153
Ta2 0.000 0.000 0.347
Ta3 0.000 0.000 0.653
Ta4 0.000 0.000 0.847
Ta5 0.333 0.667 0.054
Ta6 0.333 0.667 0.450
Ta7 0.667 0.333 0.550
Ta8 0.667 0.333 0.946
In1 0.333 0.667 0.250
In2 0.667 0.333 0.750
C1 0.000 0.000 0.000
C2 0.333 0.667 0.895
C3 0.667 0.333 0.105
N1 0.000 0.000 0.500
N2 0.333 0.667 0.602
N3 0.667 0.333 0.398

(11)
# GGA-PBE In2W4CN, relaxed
# Space-group type: P-3m1
# Crystal system: trigonal
data_In2W4CN
_cell_length_a 3.147
_cell_length_b 3.147
_cell_length_c 13.906
_cell_angle_alpha 90.00
_cell_angle_beta 90.00
_cell_angle_gamma 120.00
_space_group_name_H-M_alt 'P 1'
_space_group_IT_number 1
loop_
_space_group_symop_operation_xyz
'x,y,z'
loop_
_atom_site_label
_atom_site_fract_x
_atom_site_fract_y
_atom_site_fract_z
In1 0.333 0.667 0.249
In2 0.667 0.333 0.751
W1 0.333 0.667 0.581
W2 0.333 0.667 0.922
W3 0.667 0.333 0.078
W4 0.667 0.333 0.419
C1 0.000 0.000 0.500
N1 0.000 0.000 0.000

(12)
# GGA-PBE Zr8In2C3N3, relaxed
# Space-group type: P-3m1
# Crystal system: trigonal
data_Zr8In2C3N3
_cell_length_a 3.328
_cell_length_b 3.328
_cell_length_c 25.549
_cell_angle_alpha 90.00
_cell_angle_beta 90.00
_cell_angle_gamma 120.00
_space_group_name_H-M_alt 'P 1'
_space_group_IT_number 1
loop_
_space_group_symop_operation_xyz
'x,y,z'
loop_
_atom_site_label
_atom_site_fract_x
_atom_site_fract_y
_atom_site_fract_z
Zr1 0.000 0.000 0.150
Zr2 0.000 0.000 0.346
Zr3 0.000 0.000 0.654
Zr4 0.000 0.000 0.850
Zr5 0.333 0.667 0.551
Zr6 0.333 0.667 0.947
Zr7 0.667 0.333 0.053
Zr8 0.667 0.333 0.449
In1 0.333 0.667 0.753
In2 0.667 0.333 0.247
C1 0.000 0.000 0.500
C2 0.333 0.667 0.391
C3 0.667 0.333 0.609
N1 0.000 0.000 0.000
N2 0.333 0.667 0.103
N3 0.667 0.333 0.897

(13)
# GGA-PBE Nb4InC3, relaxed
# Space-group type: P6_3/mmc
# Crystal system: hexagonal
data_Nb4InC3
_cell_length_a 3.179
_cell_length_b 3.179
_cell_length_c 25.035
_cell_angle_alpha 90.00
_cell_angle_beta 90.00
_cell_angle_gamma 120.00
_space_group_name_H-M_alt 'P 1'
_space_group_IT_number 1
loop_
_space_group_symop_operation_xyz
'x,y,z'
loop_
_atom_site_label
_atom_site_fract_x
_atom_site_fract_y
_atom_site_fract_z
Nb1 0.000 0.000 0.152
Nb2 0.000 0.000 0.348
Nb3 0.000 0.000 0.652
Nb4 0.000 0.000 0.848
Nb5 0.333 0.667 0.054
Nb6 0.333 0.667 0.446
Nb7 0.667 0.333 0.554
Nb8 0.667 0.333 0.946
In1 0.333 0.667 0.250
In2 0.667 0.333 0.750
C1 0.000 0.000 0.000
C2 0.000 0.000 0.500
C3 0.333 0.667 0.606
C4 0.333 0.667 0.894
C5 0.667 0.333 0.106
C6 0.667 0.333 0.394

(14)
# GGA-PBE Nb2InC, relaxed
# Space-group type: P6_3/mmc
# Crystal system: hexagonal
data_Nb2InC
_cell_length_a 3.200
_cell_length_b 3.200
_cell_length_c 14.491
_cell_angle_alpha 90.00
_cell_angle_beta 90.00
_cell_angle_gamma 120.00
_space_group_name_H-M_alt 'P 1'
_space_group_IT_number 1
loop_
_space_group_symop_operation_xyz
'x,y,z'
loop_
_atom_site_label
_atom_site_fract_x
_atom_site_fract_y
_atom_site_fract_z
Nb1 0.333 0.667 0.082
Nb2 0.333 0.667 0.418
Nb3 0.667 0.333 0.582
Nb4 0.667 0.333 0.918
In1 0.333 0.667 0.750
In2 0.667 0.333 0.250
C1 0.000 0.000 0.000
C2 0.000 0.000 0.500

(15)
# GGA-PBE Nb2InC, relaxed
# Space-group type: P6_3/mmc
# Crystal system: hexagonal
data_Nb2InC
_cell_length_a 3.200
_cell_length_b 3.200
_cell_length_c 14.494
_cell_angle_alpha 90.00
_cell_angle_beta 90.00
_cell_angle_gamma 120.00
_space_group_name_H-M_alt 'P 1'
_space_group_IT_number 1
loop_
_space_group_symop_operation_xyz
'x,y,z'
loop_
_atom_site_label
_atom_site_fract_x
_atom_site_fract_y
_atom_site_fract_z
Nb1 0.333 0.667 0.082
Nb2 0.333 0.667 0.418
Nb3 0.667 0.333 0.582
Nb4 0.667 0.333 0.918
In1 0.333 0.667 0.750
In2 0.667 0.333 0.250
C1 0.000 0.000 0.000
C2 0.000 0.000 0.500

(16)
# GGA-PBE Nb2InC, relaxed
# Space-group type: P6_3/mmc
# Crystal system: hexagonal
data_Nb2InC
_cell_length_a 3.201
_cell_length_b 3.201
_cell_length_c 14.486
_cell_angle_alpha 90.00
_cell_angle_beta 90.00
_cell_angle_gamma 120.00
_space_group_name_H-M_alt 'P 1'
_space_group_IT_number 1
loop_
_space_group_symop_operation_xyz
'x,y,z'
loop_
_atom_site_label
_atom_site_fract_x
_atom_site_fract_y
_atom_site_fract_z
Nb1 0.333 0.667 0.083
Nb2 0.333 0.667 0.417
Nb3 0.667 0.333 0.583
Nb4 0.667 0.333 0.917
In1 0.333 0.667 0.750
In2 0.667 0.333 0.250
C1 0.000 0.000 0.000
C2 0.000 0.000 0.500

(17)
# GGA-PBE NbIn2C, relaxed
# Space-group type: P6_3/mmc
# Crystal system: hexagonal
data_NbIn2C
_cell_length_a 3.222
_cell_length_b 3.222
_cell_length_c 15.574
_cell_angle_alpha 90.00
_cell_angle_beta 90.00
_cell_angle_gamma 120.00
_space_group_name_H-M_alt 'P 1'
_space_group_IT_number 1
loop_
_space_group_symop_operation_xyz
'x,y,z'
loop_
_atom_site_label
_atom_site_fract_x
_atom_site_fract_y
_atom_site_fract_z
Nb1 0.333 0.667 0.250
Nb2 0.667 0.333 0.750
In1 0.333 0.667 0.595
In2 0.333 0.667 0.905
In3 0.667 0.333 0.095
In4 0.667 0.333 0.405
C1 0.000 0.000 0.000
C2 0.000 0.000 0.500

(18)
# GGA-PBE Nb4InNiC2, relaxed
# Space-group type: P-6m2
# Crystal system: hexagonal
data_Nb4InNiC2
_cell_length_a 3.160
_cell_length_b 3.160
_cell_length_c 13.721
_cell_angle_alpha 90.00
_cell_angle_beta 90.00
_cell_angle_gamma 120.00
_space_group_name_H-M_alt 'P 1'
_space_group_IT_number 1
loop_
_space_group_symop_operation_xyz
'x,y,z'
loop_
_atom_site_label
_atom_site_fract_x
_atom_site_fract_y
_atom_site_fract_z
Nb1 0.000 0.000 0.144
Nb2 0.000 0.000 0.856
Nb3 0.667 0.333 0.323
Nb4 0.667 0.333 0.677
In1 0.000 0.000 0.500
Ni1 0.667 0.333 0.000
C1 0.333 0.667 0.233
C2 0.333 0.667 0.767

(19)
# GGA-PBE Nb4InC2O, relaxed
# Space-group type: P-6m2
# Crystal system: hexagonal
data_Nb4InC2O
_cell_length_a 3.195
_cell_length_b 3.195
_cell_length_c 12.602
_cell_angle_alpha 90.00
_cell_angle_beta 90.00
_cell_angle_gamma 120.00
_space_group_name_H-M_alt 'P 1'
_space_group_IT_number 1
loop_
_space_group_symop_operation_xyz
'x,y,z'
loop_
_atom_site_label
_atom_site_fract_x
_atom_site_fract_y
_atom_site_fract_z
Nb1 0.000 0.000 0.123
Nb2 0.000 0.000 0.877
Nb3 0.333 0.667 0.306
Nb4 0.333 0.667 0.694
In1 0.000 0.000 0.500
C1 0.667 0.333 0.215
C2 0.667 0.333 0.785
O1 0.333 0.667 0.000

| no. | calculated total energy (eV/cell) | calculated volume (A^3/atom) |
| --- | --- | --- |
| 1 | -216.0 | 15.5 |
| 2 | -66.1 | 15.1 |
| 3 | -175.5 | 19.2 |
| 4 | -199.2 | 15.9 |
| 5 | -195.3 | 16.9 |
| 6 | -74.6 | 13.7 |
| 7 | -148.3 | 13.5 |
| 8 | -107.7 | 14.3 |
| 9 | -117.9 | 14.0 |
| 10 | -162.1 | 13.2 |
| 11 | -72.4 | 14.9 |
| 12 | -143.7 | 15.3 |
| 13 | -149.3 | 13.7 |
| 14 | -67.6 | 16.1 |
| 15 | -67.6 | 16.1 |
| 16 | -67.6 | 16.1 |
| 17 | -42.0 | 17.5 |
| 18 | -69.9 | 14.8 |
| 19 | -72.5 | 13.9 |